No. 1
MgZn2Au: relaxed, PBE-GGA.

```
data_MgZn2Au
_cell_length_a 3.0165
_cell_length_b 3.0165
_cell_length_c 26.9067
_cell_angle_alpha 90.00
_cell_angle_beta 90.00
_cell_angle_gamma 120.00
_symmetry_space_group_name_H-M 'R -3 m'
_symmetry_Int_Tables_number 166
_symmetry_space_group_name_Hall '-R 3 2"'
loop_
_atom_site_label
_atom_site_type_symbol
_atom_site_fract_x
_atom_site_fract_y
_atom_site_fract_z
Mg1 Mg 0.0000 0.0000 0.0000
Zn1 Zn 0.0000 0.0000 0.2463
Au1 Au 0.0000 0.0000 0.5000
```

Properties
DFT formation energy ... -32 meV/atom
Crystal system ... trigonal
M_tot ... 0.00 Bohr magnetons per cell

No. 2
Nd6Ir2S3Br: relaxed, PBE-GGA.

```
data_Nd6Ir2S3Br
_cell_length_a 18.3108
_cell_length_b 4.0555
_cell_length_c 8.6166
_cell_angle_alpha 90.00
_cell_angle_beta 104.77
_cell_angle_gamma 90.00
_symmetry_space_group_name_H-M 'C 1 2/m 1'
_symmetry_Int_Tables_number 12
loop_
_symmetry_equiv_pos_as_xyz
'x,y,z'
'-x,-y,-z'
'-x,y,-z'
'x,-y,z'
'x+1/2,y+1/2,z'
'-x+1/2,-y+1/2,-z'
'-x+1/2,y+1/2,-z'
'x+1/2,-y+1/2,z'
loop_
_atom_site_label
_atom_site_type_symbol
_atom_site_fract_x
_atom_site_fract_y
_atom_site_fract_z
Nd1 Nd 0.0083 0.0000 0.2809
Nd2 Nd 0.1691 0.5000 0.5821
Nd3 Nd 0.1783 0.5000 0.1101
Ir1 Ir 0.1684 0.0000 0.3372
S1 S 0.0000 0.5000 0.5000
S2 S 0.1576 0.0000 0.8420
Br1 Br 0.0000 0.5000 0.0000
```

Properties
Formation energy (no corrections) ... -1.40 eV per atom
Crystal system ... monoclinic
M_tot ... 0.00 Bohr magnetons per cell

No. 3
LiCa2Pd2: relaxed, PBE-GGA.

```
data_LiCa2Pd2
_cell_length_a 3.9128
_cell_length_b 3.9128
_cell_length_c 17.0637
_cell_angle_alpha 90.00
_cell_angle_beta 90.00
_cell_angle_gamma 90.00
_symmetry_space_group_name_H-M 'I 4/m m m'
_symmetry_Int_Tables_number 139
_symmetry_space_group_name_Hall '-I 4 2'
loop_
_atom_site_label
_atom_site_type_symbol
_atom_site_fract_x
_atom_site_fract_y
_atom_site_fract_z
Li1 Li 0.0000 0.0000 0.0000
Ca1 Ca 0.0000 0.0000 0.3748
Pd1 Pd 0.0000 0.5000 0.2500
```

Properties
DFT formation energy ... -252 meV/atom
Crystal system ... tetragonal
M_tot ... 0.00 Bohr magnetons per cell
Offset from the most stable computed form ... 349.1 meV/atom

No. 4
ErScSi: relaxed, PBE-GGA.

```
data_ErScSi
_cell_length_a 4.5251
_cell_length_b 12.8326
_cell_length_c 4.5771
_cell_angle_alpha 90.00
_cell_angle_beta 90.00
_cell_angle_gamma 90.00
_symmetry_space_group_name_H-M 'C m c m'
_symmetry_Int_Tables_number 63
_symmetry_space_group_name_Hall '-C 2c 2'
loop_
_atom_site_label
_atom_site_type_symbol
_atom_site_fract_x
_atom_site_fract_y
_atom_site_fract_z
Er1 Er 0.0000 0.1053 0.2500
Sc1 Sc 0.0000 0.3879 0.2500
Si1 Si 0.0000 0.2504 0.7500
```

Properties
Formation energy (no corrections) ... -0.38 eV per atom
Crystal system ... orthorhombic
M_tot ... 0.00 Bohr magnetons per cell
Offset from the most stable computed form ... 252.6 meV/atom

No. 5
Pm2SmSb3: relaxed, PBE-GGA.

```
data_Pm2SmSb3
_cell_length_a 4.4883
_cell_length_b 6.3385
_cell_length_c 13.4543
_cell_angle_alpha 90.00
_cell_angle_beta 90.00
_cell_angle_gamma 90.00
_symmetry_space_group_name_H-M 'I m m m'
_symmetry_Int_Tables_number 71
_symmetry_space_group_name_Hall '-I 2 2'
loop_
_atom_site_label
_atom_site_type_symbol
_atom_site_fract_x
_atom_site_fract_y
_atom_site_fract_z
Pm1 Pm 0.0000 0.0000 0.1669
Sm1 Sm 0.0000 0.0000 0.5000
Sb1 Sb 0.0000 0.5000 0.1659
Sb2 Sb 0.0000 0.5000 0.5000
```

Properties
Formation energy (no corrections) ... -1.18 eV per atom
Crystal system ... orthorhombic
M_tot ... 0.00 Bohr magnetons per cell
Offset from the most stable computed form ... 4.0 meV/atom

No. 6
Nd2HoTl2Cd2: relaxed, PBE-GGA.

```
data_Nd2HoTl2Cd2
_cell_length_a 5.0087
_cell_length_b 5.0087
_cell_length_c 27.7881
_cell_angle_alpha 90.00
_cell_angle_beta 90.00
_cell_angle_gamma 120.00
_symmetry_space_group_name_H-M 'R -3 m'
_symmetry_Int_Tables_number 166
_symmetry_space_group_name_Hall '-R 3 2"'
loop_
_atom_site_label
_atom_site_type_symbol
_atom_site_fract_x
_atom_site_fract_y
_atom_site_fract_z
Nd1 Nd 0.0000 0.0000 0.1260
Ho1 Ho 0.0000 0.0000 0.0000
Tl1 Tl 0.0000 0.0000 0.2604
Cd1 Cd 0.0000 0.0000 0.3879
```

Properties
DFT formation energy ... -160 meV/atom
Crystal system ... trigonal
M_tot ... 0.00 Bohr magnetons per cell

No. 7
RbZrAg2: relaxed, PBE-GGA.

```
data_RbZrAg2
_cell_length_a 7.4330
_cell_length_b 7.4330
_cell_length_c 7.4330
_cell_angle_alpha 90.00
_cell_angle_beta 90.00
_cell_angle_gamma 90.00
_symmetry_space_group_name_H-M 'F m -3 m'
_symmetry_Int_Tables_number 225
_symmetry_space_group_name_Hall '-F 4 2 3'
loop_
_atom_site_label
_atom_site_type_symbol
_atom_site_fract_x
_atom_site_fract_y
_atom_site_fract_z
Rb1 Rb 0.0000 0.0000 0.0000
Zr1 Zr 0.0000 0.0000 0.5000
Ag1 Ag 0.2500 0.2500 0.2500
```

Properties
DFT formation energy ... 695 meV/atom
Crystal system ... cubic
M_tot ... 0.00 Bohr magnetons per cell
Offset from the most stable computed form ... 0.0 meV/atom

No. 8
NdIn3Te4: relaxed, PBE-GGA.

```
data_NdIn3Te4
_cell_length_a 4.4599
_cell_length_b 4.4599
_cell_length_c 46.9469
_cell_angle_alpha 90.00
_cell_angle_beta 90.00
_cell_angle_gamma 120.00
_symmetry_space_group_name_H-M 'R -3 m'
_symmetry_Int_Tables_number 166
_symmetry_space_group_name_Hall '-R 3 2"'
loop_
_atom_site_label
_atom_site_type_symbol
_atom_site_fract_x
_atom_site_fract_y
_atom_site_fract_z
Nd1 Nd 0.0000 0.0000 0.0000
In1 In 0.0000 0.0000 0.2464
In2 In 0.0000 0.0000 0.5000
Te1 Te 0.0000 0.0000 0.1302
Te2 Te 0.0000 0.0000 0.3733
```

Properties
Formation energy (no corrections) ... -0.61 eV per atom
Crystal system ... trigonal
M_tot ... 0.00 Bohr magnetons per cell

No. 9
LaSm2Te4: relaxed, PBE-GGA.

```
data_LaSm2Te4
_cell_length_a 17.0349
_cell_length_b 4.4811
_cell_length_c 7.7183
_cell_angle_alpha 90.00
_cell_angle_beta 116.04
_cell_angle_gamma 90.00
_symmetry_space_group_name_H-M 'C 1 2/m 1'
_symmetry_Int_Tables_number 12
loop_
_symmetry_equiv_pos_as_xyz
'x,y,z'
'-x,-y,-z'
'-x,y,-z'
'x,-y,z'
'x+1/2,y+1/2,z'
'-x+1/2,-y+1/2,-z'
'-x+1/2,y+1/2,-z'
'x+1/2,-y+1/2,z'
loop_
_atom_site_label
_atom_site_type_symbol
_atom_site_fract_x
_atom_site_fract_y
_atom_site_fract_z
La1 La 0.0000 0.0000 0.0000
Sm1 Sm 0.2418 0.5000 0.7313
Te1 Te 0.1264 0.0000 0.4565
Te2 Te 0.1348 0.5000 0.9809
```

Properties
Formation energy (no corrections) ... -1.45 eV per atom
Crystal system ... monoclinic
M_tot ... 0.00 Bohr magnetons per cell
Offset from the most stable computed form ... 22.3 meV/atom

No. 10
CsTlPtS2: relaxed, PBE-GGA.

```
data_CsTlPtS2
_cell_length_a 5.4819
_cell_length_b 5.4819
_cell_length_c 7.5431
_cell_angle_alpha 90.00
_cell_angle_beta 90.00
_cell_angle_gamma 90.00
_symmetry_space_group_name_H-M 'P 4/m m m'
_symmetry_Int_Tables_number 123
_symmetry_space_group_name_Hall '-P 4 2'
loop_
_atom_site_label
_atom_site_type_symbol
_atom_site_fract_x
_atom_site_fract_y
_atom_site_fract_z
Cs1 Cs 0.0000 0.0000 0.0000
Tl1 Tl 0.0000 0.0000 0.5000
Pt1 Pt 0.5000 0.5000 0.5000
S1 S 0.0000 0.5000 0.0000
```

Properties
Formation energy (no corrections) ... 1.46 eV per atom
Crystal system ... tetragonal
M_tot ... 1.87 Bohr magnetons per cell

No. 11
Tl16Hg12Pb: relaxed, PBE-GGA.

```
data_Tl16Hg12Pb
_cell_length_a 12.0907
_cell_length_b 16.2567
_cell_length_c 9.9535
_cell_angle_alpha 90.00
_cell_angle_beta 119.60
_cell_angle_gamma 90.00
_symmetry_space_group_name_H-M 'C 1 m 1'
_symmetry_Int_Tables_number 8
loop_
_symmetry_equiv_pos_as_xyz
'x,y,z'
'x,-y,z'
'x+1/2,y+1/2,z'
'x+1/2,-y+1/2,z'
loop_
_atom_site_label
_atom_site_type_symbol
_atom_site_fract_x
_atom_site_fract_y
_atom_site_fract_z
Tl1 Tl 0.0000 0.0000 0.0000
Tl2 Tl 0.0005 0.3029 0.3373
Tl3 Tl 0.0130 0.0000 0.6482
Tl4 Tl 0.0557 0.3439 0.0407
Tl5 Tl 0.1740 0.1577 0.2441
Tl6 Tl 0.1806 0.5000 0.3198
Tl7 Tl 0.1910 0.1809 0.6448
Tl8 Tl 0.3164 0.3032 0.9805
Tl9 Tl 0.4028 0.0000 0.3352
Tl10 Tl 0.4747 0.1321 0.6501
Hg1 Hg 0.0107 0.1858 0.8223
Hg2 Hg 0.2048 0.0000 0.4689
Hg3 Hg 0.2372 0.4070 0.6638
Hg4 Hg 0.2734 0.0990 0.0036
Hg5 Hg 0.3203 0.3093 0.4600
Hg6 Hg 0.3813 0.0000 0.8264
Hg7 Hg 0.4339 0.4053 0.2956
Pb1 Pb 0.2012 0.5000 0.9609
```

Properties
DFT formation energy ... -1 meV/atom
Crystal system ... monoclinic
M_tot ... 0.00 Bohr magnetons per cell

No. 12
BeNiRh3: relaxed, PBE-GGA.

```
data_BeNiRh3
_cell_length_a 4.4359
_cell_length_b 4.4359
_cell_length_c 4.4359
_cell_angle_alpha 90.00
_cell_angle_beta 90.00
_cell_angle_gamma 90.00
_symmetry_space_group_name_H-M 'P m -3 m'
_symmetry_Int_Tables_number 221
_symmetry_space_group_name_Hall '-P 4 2 3'
loop_
_atom_site_label
_atom_site_type_symbol
_atom_site_fract_x
_atom_site_fract_y
_atom_site_fract_z
Be1 Be 0.0000 0.0000 0.0000
Ni1 Ni 0.5000 0.5000 0.5000
Rh1 Rh 0.0000 0.5000 0.5000
```

Properties
DFT formation energy ... 1307 meV/atom
Crystal system ... cubic
M_tot ... 3.50 Bohr magnetons per cell
Offset from the most stable computed form ... 937.4 meV/atom

Question: Among the records above, which one has the highest M_tot?
Answer: BeNiRh3

Question: The highest M_tot belongs to which entry?
Answer: BeNiRh3

Copy entry 1 word for word.
MgZn2Au: relaxed, PBE-GGA.

```
data_MgZn2Au
_cell_length_a 3.0165
_cell_length_b 3.0165
_cell_length_c 26.9067
_cell_angle_alpha 90.00
_cell_angle_beta 90.00
_cell_angle_gamma 120.00
_symmetry_space_group_name_H-M 'R -3 m'
_symmetry_Int_Tables_number 166
_symmetry_space_group_name_Hall '-R 3 2"'
loop_
_atom_site_label
_atom_site_type_symbol
_atom_site_fract_x
_atom_site_fract_y
_atom_site_fract_z
Mg1 Mg 0.0000 0.0000 0.0000
Zn1 Zn 0.0000 0.0000 0.2463
Au1 Au 0.0000 0.0000 0.5000
```

Properties
DFT formation energy ... -32 meV/atom
Crystal system ... trigonal
M_tot ... 0.00 Bohr magnetons per cell